{"formula": "La3YTe6", "functional": "PBE-GGA", "state": "relaxed", "raw_formation_energy_ev_per_atom": -1.4932, "m_tot_mub_per_fu": 0.00, "dft_energy_ev_per_cell": -110.06, "e_above_lowest_polymorph_mev_per_atom": 13, "lattice_angstrom": [[-5.4486, -5.3570, -5.1897], [6.0975, 2.6109, -6.4281], [4.9708, -6.5488, 4.2097]], "species": ["La", "La", "La", "La", "La", "La", "Te", "Te", "Te", "Te", "Te", "Te", "Te", "Te", "Te", "Te", "Te", "Te", "Y", "Y"], "fractional_positions": [[0.2902, 0.1213, 0.6318], [0.8787, 0.3682, 0.7098], [0.6318, 0.2902, 0.1213], [0.7098, 0.8787, 0.3682], [0.3682, 0.7098, 0.8787], [0.1213, 0.6318, 0.2902], [0.4393, 0.8183, 0.5756], [0.0378, 0.6770, 0.9334], [0.0666, 0.9622, 0.3230], [0.6770, 0.9334, 0.0378], [0.1817, 0.4244, 0.5607], [0.5756, 0.4393, 0.8183], [0.4244, 0.5607, 0.1817], [0.5607, 0.1817, 0.4244], [0.9622, 0.3230, 0.0666], [0.8183, 0.5756, 0.4393], [0.3230, 0.0666, 0.9622], [0.9334, 0.0378, 0.6770], [0.0000, 0.0000, 0.0000], [0.5000, 0.5000, 0.5000]]}